No. 1
First-principles (PBE) data for a relaxed Sm2YZn crystal, as listed in the Alexandria database.

It has space group R3m (No. 160, hexagonal axes), with a = 3.6556 Å, b = 3.6556 Å, c = 31.1902 Å, α = 90.00°, β = 90.00° and γ = 120.00°. Symmetry generates all atoms from Sm at (0.0000, 0.0000, 0.0000), Sm at (0.0000, 0.0000, 0.1881), Y at (0.0000, 0.0000, 0.7606) and Zn at (0.0000, 0.0000, 0.5944).

For the density, the calculation gives 6280 kg/m³. For the volume, the calculation gives 360.97 Å³/cell. The density of states at the Fermi level is 1.4565 states/eV per atom. The formation energy comes out at -0.034 eV/atom.

***

No. 2
First-principles (PBE) data for a relaxed SmY5Zn6 crystal, as listed in the Alexandria database.

It has space group Cmmm (No. 65), with a = 5.070 Å, b = 15.221 Å, c = 7.203 Å, α = 90.00°, β = 90.00° and γ = 90.00°. Symmetry generates all atoms from Sm at (0.000, 0.000, 0.000), Y at (0.000, 0.000, 0.500), Y at (0.000, 0.333, 0.000), Y at (0.000, 0.334, 0.500), Zn at (0.000, 0.168, 0.253) and Zn at (0.000, 0.500, 0.253).

For the density, the calculation gives 5899 kg/m³. For the volume, the calculation gives 555.89 Å³/cell. The density of states at the Fermi level is 1.1910 states/eV per atom. The formation energy comes out at -0.351 eV/atom.

***

No. 3
First-principles (PBE) data for a relaxed Sm2Y6Zn crystal, as listed in the Alexandria database.

It has space group Pnnm (No. 58), with a = 9.844 Å, b = 10.281 Å, c = 5.431 Å, α = 90.00°, β = 90.00° and γ = 90.00°. Symmetry generates all atoms from Sm at (0.192, 0.245, 0.000), Y at (0.018, 0.313, 0.500), Y at (0.134, 0.895, 0.000), Y at (0.189, 0.569, 0.000) and Zn at (0.000, 0.000, 0.500).

For the density, the calculation gives 5435 kg/m³. For the volume, the calculation gives 549.65 Å³/cell. The density of states at the Fermi level is 1.6467 states/eV per atom. The formation energy comes out at 0.019 eV/atom.

***

No. 4
First-principles (PBE) data for a relaxed SmY6Zn2 crystal, as listed in the Alexandria database.

It has space group C2/m (No. 12), with a = 12.552 Å, b = 3.643 Å, c = 11.884 Å, α = 90.00°, β = 109.18° and γ = 90.00°. Symmetry generates all atoms from Sm at (0.000, 0.000, 0.000), Y at (0.025, 0.000, 0.329), Y at (0.185, 0.500, 0.588), Y at (0.190, 0.500, 0.875) and Zn at (0.152, 0.500, 0.207).

For the density, the calculation gives 5271 kg/m³. For the volume, the calculation gives 513.25 Å³/cell. The density of states at the Fermi level is 1.2853 states/eV per atom. The formation energy comes out at -0.144 eV/atom.

***

No. 5
First-principles (PBE) data for a relaxed SmY2Zn6 crystal, as listed in the Alexandria database.

It has space group P6/mmm (No. 191), with a = 7.7806 Å, b = 7.7806 Å, c = 3.5547 Å, α = 90.00°, β = 90.00° and γ = 120.00°. Symmetry generates all atoms from Sm at (0.0000, 0.0000, 0.0000), Y at (0.3333, 0.6667, 0.0000) and Zn at (0.0000, 0.3350, 0.5000).

For the density, the calculation gives 6421 kg/m³. For the volume, the calculation gives 186.35 Å³/cell. The density of states at the Fermi level is 0.7980 states/eV per atom. The formation energy comes out at -0.385 eV/atom.

***

No. 6
First-principles (PBE) data for a relaxed SmYZn4 crystal, as listed in the Alexandria database.

It has space group F-43m (No. 216), with a = 7.782 Å, b = 7.782 Å, c = 7.782 Å, α = 90.00°, β = 90.00° and γ = 90.00°. Symmetry generates all atoms from Sm at (0.000, 0.000, 0.000), Y at (0.250, 0.250, 0.750) and Zn at (0.125, 0.125, 0.375).

For the density, the calculation gives 7059 kg/m³. For the volume, the calculation gives 471.33 Å³/cell. The density of states at the Fermi level is 0.2607 states/eV per atom. The formation energy comes out at -0.337 eV/atom.

***

No. 7
First-principles (PBE) data for a relaxed Sm5YZn4 crystal, as listed in the Alexandria database.

It has space group P4/mmm (No. 123), with a = 3.642 Å, b = 3.642 Å, c = 19.609 Å, α = 90.00°, β = 90.00° and γ = 90.00°. Symmetry generates all atoms from Sm at (0.000, 0.000, 0.000), Sm at (0.000, 0.000, 0.185), Sm at (0.000, 0.000, 0.369), Y at (0.500, 0.500, 0.500), Zn at (0.500, 0.500, 0.093) and Zn at (0.500, 0.500, 0.278).

For the density, the calculation gives 7037 kg/m³. For the volume, the calculation gives 260.14 Å³/cell. The density of states at the Fermi level is 1.1620 states/eV per atom. The formation energy comes out at -0.251 eV/atom.

***

No. 8
First-principles (PBE) data for a relaxed Sm2YZn crystal, as listed in the Alexandria database.

It has space group I4/mmm (No. 139), with a = 5.115 Å, b = 5.115 Å, c = 17.437 Å, α = 90.00°, β = 90.00° and γ = 90.00°. Symmetry generates all atoms from Sm at (0.000, 0.000, 0.144), Sm at (0.000, 0.500, 0.000), Y at (0.000, 0.000, 0.350) and Zn at (0.000, 0.500, 0.250).

For the density, the calculation gives 6626 kg/m³. For the volume, the calculation gives 456.17 Å³/cell. The density of states at the Fermi level is 1.1377 states/eV per atom. The formation energy comes out at -0.160 eV/atom.

***

No. 9
First-principles (PBE) data for a relaxed Sm3YZn8 crystal, as listed in the Alexandria database.

It has space group P3m1 (No. 156), with a = 5.6246 Å, b = 5.6246 Å, c = 8.6848 Å, α = 90.00°, β = 90.00° and γ = 120.00°. Symmetry generates all atoms from Sm at (0.0000, 0.0000, 0.0000), Sm at (0.0000, 0.0000, 0.3910), Sm at (0.3333, 0.6667, 0.8942), Y at (0.3333, 0.6667, 0.5048), Zn at (0.0002, 0.5001, 0.1997), Zn at (0.3356, 0.1678, 0.6957), Zn at (0.6667, 0.3333, 0.4465) and Zn at (0.6667, 0.3333, 0.9483).

For the density, the calculation gives 7420 kg/m³. For the volume, the calculation gives 237.94 Å³/cell. The density of states at the Fermi level is 0.5894 states/eV per atom. The formation energy comes out at -0.316 eV/atom.

***

No. 10
First-principles (PBE) data for a relaxed Sm6YZn crystal, as listed in the Alexandria database.

It has space group P-1 (No. 2), with a = 6.366 Å, b = 6.368 Å, c = 6.370 Å, α = 95.66°, β = 95.70° and γ = 95.60°. Symmetry generates all atoms from Sm at (0.045, 0.264, 0.075), Sm at (0.236, 0.924, 0.455), Sm at (0.425, 0.455, 0.736), Y at (0.500, 0.000, 0.000) and Zn at (0.000, 0.500, 0.500).

For the density, the calculation gives 6901 kg/m³. For the volume, the calculation gives 254.20 Å³/cell. The density of states at the Fermi level is 1.3952 states/eV per atom. The formation energy comes out at 0.036 eV/atom.

***

No. 11
First-principles (PBE) data for a relaxed Sm2YZn crystal, as listed in the Alexandria database.

It has space group P4/mmm (No. 123), with a = 3.639 Å, b = 3.639 Å, c = 8.693 Å, α = 90.00°, β = 90.00° and γ = 90.00°. Symmetry generates all atoms from Sm at (0.000, 0.000, 0.208), Y at (0.500, 0.500, 0.500) and Zn at (0.500, 0.500, 0.000).

For the density, the calculation gives 6564 kg/m³. For the volume, the calculation gives 115.11 Å³/cell. The density of states at the Fermi level is 1.0048 states/eV per atom. The formation energy comes out at -0.150 eV/atom.

***

No. 12
First-principles (PBE) data for a relaxed SmY3Zn4 crystal, as listed in the Alexandria database.

It has space group P4/mmm (No. 123), with a = 5.071 Å, b = 5.071 Å, c = 7.232 Å, α = 90.00°, β = 90.00° and γ = 90.00°. Symmetry generates all atoms from Sm at (0.000, 0.000, 0.000), Y at (0.000, 0.000, 0.500), Y at (0.500, 0.500, 0.000), Y at (0.500, 0.500, 0.500) and Zn at (0.000, 0.500, 0.254).

For the density, the calculation gives 6060 kg/m³. For the volume, the calculation gives 185.98 Å³/cell. The density of states at the Fermi level is 1.1668 states/eV per atom. The formation energy comes out at -0.347 eV/atom.

***

No. 13
First-principles (PBE) data for a relaxed SmYZn2 crystal, as listed in the Alexandria database.

It has space group P4/mmm (No. 123), with a = 5.090 Å, b = 5.090 Å, c = 3.630 Å, α = 90.00°, β = 90.00° and γ = 90.00°. Symmetry generates all atoms from Sm at (0.000, 0.000, 0.000), Y at (0.500, 0.500, 0.000) and Zn at (0.000, 0.500, 0.500).

For the density, the calculation gives 6533 kg/m³. For the volume, the calculation gives 94.06 Å³/cell. The density of states at the Fermi level is 1.0315 states/eV per atom. The formation energy comes out at -0.337 eV/atom.

***

No. 14
First-principles (PBE) data for a relaxed SmY3Zn2 crystal, as listed in the Alexandria database.

It has space group P4/mmm (No. 123), with a = 3.582 Å, b = 3.582 Å, c = 12.327 Å, α = 90.00°, β = 90.00° and γ = 90.00°. Symmetry generates all atoms from Sm at (0.000, 0.000, 0.000), Y at (0.500, 0.500, 0.212), Y at (0.500, 0.500, 0.500) and Zn at (0.000, 0.000, 0.356).

For the density, the calculation gives 5753 kg/m³. For the volume, the calculation gives 158.14 Å³/cell. The density of states at the Fermi level is 1.0534 states/eV per atom. The formation energy comes out at -0.237 eV/atom.

***

No. 15
First-principles (PBE) data for a relaxed SmY2Zn crystal, as listed in the Alexandria database.

It has space group R-3m (No. 166, hexagonal axes), with a = 3.6061 Å, b = 3.6061 Å, c = 31.0510 Å, α = 90.00°, β = 90.00° and γ = 120.00°. Symmetry generates all atoms from Sm at (0.0000, 0.0000, 0.0000), Y at (0.0000, 0.0000, 0.2380) and Zn at (0.0000, 0.0000, 0.5000).

For the density, the calculation gives 5607 kg/m³. For the volume, the calculation gives 349.69 Å³/cell. The density of states at the Fermi level is 0.8376 states/eV per atom. The formation energy comes out at -0.078 eV/atom.

***

No. 16
First-principles (PBE) data for a relaxed SmY2Zn crystal, as listed in the Alexandria database.

It has space group P4/mmm (No. 123), with a = 4.794 Å, b = 4.794 Å, c = 4.780 Å, α = 90.00°, β = 90.00° and γ = 90.00°. Symmetry generates all atoms from Sm at (0.000, 0.000, 0.000), Y at (0.000, 0.500, 0.500) and Zn at (0.500, 0.500, 0.000).

For the density, the calculation gives 5949 kg/m³. For the volume, the calculation gives 109.86 Å³/cell. The density of states at the Fermi level is 1.3958 states/eV per atom. The formation energy comes out at -0.027 eV/atom.

***

No. 17
First-principles (PBE) data for a relaxed SmY2Zn3 crystal, as listed in the Alexandria database.

It has space group P4/mmm (No. 123), with a = 3.601 Å, b = 3.601 Å, c = 10.815 Å, α = 90.00°, β = 90.00° and γ = 90.00°. Symmetry generates all atoms from Sm at (0.000, 0.000, 0.000), Y at (0.000, 0.000, 0.335), Zn at (0.500, 0.500, 0.173) and Zn at (0.500, 0.500, 0.500).

For the density, the calculation gives 6209 kg/m³. For the volume, the calculation gives 140.25 Å³/cell. The density of states at the Fermi level is 1.1783 states/eV per atom. The formation energy comes out at -0.342 eV/atom.

***

No. 18
First-principles (PBE) data for a relaxed Sm2Y2Zn crystal, as listed in the Alexandria database.

It has space group I4/mmm (No. 139), with a = 3.588 Å, b = 3.588 Å, c = 22.710 Å, α = 90.00°, β = 90.00° and γ = 90.00°. Symmetry generates all atoms from Sm at (0.000, 0.000, 0.193), Y at (0.000, 0.000, 0.422) and Zn at (0.000, 0.000, 0.000).

For the density, the calculation gives 6178 kg/m³. For the volume, the calculation gives 292.39 Å³/cell. The density of states at the Fermi level is 1.2334 states/eV per atom. The formation energy comes out at -0.133 eV/atom.

***

No. 19
First-principles (PBE) data for a relaxed Sm3YZn4 crystal, as listed in the Alexandria database.

It has space group R-3m (No. 166, hexagonal axes), with a = 5.1233 Å, b = 5.1233 Å, c = 25.1534 Å, α = 90.00°, β = 90.00° and γ = 120.00°. Symmetry generates all atoms from Sm at (0.0000, 0.0000, 0.0000), Sm at (0.0000, 0.0000, 0.2494), Y at (0.0000, 0.0000, 0.5000), Zn at (0.0000, 0.0000, 0.1259) and Zn at (0.0000, 0.0000, 0.3760).

For the density, the calculation gives 6984 kg/m³. For the volume, the calculation gives 571.77 Å³/cell. The density of states at the Fermi level is 1.1534 states/eV per atom. The formation energy comes out at -0.328 eV/atom.

***

No. 20
First-principles (PBE) data for a relaxed SmY2Zn crystal, as listed in the Alexandria database.

It has space group R3m (No. 160, hexagonal axes), with a = 3.6392 Å, b = 3.6392 Å, c = 30.7658 Å, α = 90.00°, β = 90.00° and γ = 120.00°. Symmetry generates all atoms from Sm at (0.0000, 0.0000, 0.0000), Y at (0.0000, 0.0000, 0.2379), Y at (0.0000, 0.0000, 0.4299) and Zn at (0.0000, 0.0000, 0.8343).

For the density, the calculation gives 5556 kg/m³. For the volume, the calculation gives 352.87 Å³/cell. The density of states at the Fermi level is 1.3191 states/eV per atom. The formation energy comes out at -0.066 eV/atom.